Entry from Alexandria: crystalline ThMgAlAu at its relaxed geometry (PBE).

Properties
SG   F-43m
V   22.79 Å³ per atom
DOS at the Fermi energy   2.06 states/eV/f.u.
Formation energy from the elements   -398 meV/atom
Total moment   0.00 Bohr magnetons per cell

Cell: 5.052 5.052 5.052 Å, 60.00 60.00 60.00°
Sites, in units of the cell vectors:
Al1 0.000 0.000 0.000
Mg1 0.250 0.250 0.250
Au1 0.500 0.500 0.500
Th1 0.750 0.750 0.750